Entry i
Entry from the Alexandria database: an optimized crystal structure of Zn8CdAu2 (PBE-GGA).

abc: 5.1074 6.9650 6.9650
angles: 52.78 100.47 100.47
With the nearest neighbours (Å) after each atom.
Sites, in units of the cell vectors:
Zn (0.4252, 0.3669, 0.8170)  5 Zn 2.56-2.79, 2 Au 2.66-2.73, 1 Cd 2.81
Zn (0.5748, 0.1830, 0.6331)  5 Zn 2.56-2.79, 2 Au 2.66-2.73, 1 Cd 2.81
Zn (0.2113, 0.7780, 0.7780)  2 Au 2.53-2.58, 3 Zn 2.68-2.78
Zn (0.7887, 0.2220, 0.2220)  2 Au 2.53-2.58, 3 Zn 2.68-2.78
Zn (0.4252, 0.8170, 0.3669)  5 Zn 2.56-2.79, 2 Au 2.66-2.73, 1 Cd 2.81
Zn (0.5748, 0.6331, 0.1830)  5 Zn 2.56-2.79, 2 Au 2.66-2.73, 1 Cd 2.81
Zn (0.8872, 0.5799, 0.5799)  6 Zn 2.50-2.77, 1 Au 2.64
Zn (0.1128, 0.4201, 0.4201)  6 Zn 2.50-2.77, 1 Au 2.64
Cd (0.0000, 0.0000, 0.0000)  4 Zn 2.81, 2 Au 3.01
Au (0.7099, 0.7648, 0.7648)  7 Zn 2.53-2.73
Au (0.2901, 0.2352, 0.2352)  7 Zn 2.53-2.73

## Properties
Calculated volume ... 193.2 Å³/cell
M_tot ... 0.00 μB/f.u.
Space group ... C2/m, No. 12
N(E_F) ... 1.8 states/eV/cell

---

Entry ii
Entry from the Alexandria database: an optimized crystal structure of Zn8CdAu2 (PBE-GGA).

abc: 3.8257 6.8696 7.2760
angles: 100.06 105.24 90.00
With the nearest neighbours (Å) after each atom.
Sites, in units of the cell vectors:
Zn (0.5941, 0.4731, 0.1883)  7 Zn 2.72-2.82, 3 Au 2.81-2.85
Zn (0.3165, 0.0802, 0.6330)  1 Cd 2.73, 3 Au 2.74-2.93, 7 Zn 2.76-2.95
Zn (0.1399, 0.2158, 0.2799)  6 Zn 2.66-2.94, 2 Au 2.71, 2 Cd 2.94
Zn (0.0398, 0.7130, 0.0795)  8 Zn 2.66-2.95, 1 Au 2.69, 2 Cd 2.87
Zn (0.8601, 0.7842, 0.7201)  6 Zn 2.66-2.94, 2 Au 2.71, 2 Cd 2.94
Zn (0.6835, 0.9198, 0.3669)  1 Cd 2.73, 3 Au 2.74-2.93, 7 Zn 2.76-2.95
Zn (0.4059, 0.5269, 0.8117)  7 Zn 2.72-2.82, 3 Au 2.81-2.85
Zn (0.9602, 0.2870, 0.9205)  8 Zn 2.66-2.95, 1 Au 2.69, 2 Cd 2.87
Cd (0.5000, 0.0000, 0.0000)  10 Zn 2.73-2.94
Au (0.2255, 0.6619, 0.4511)  9 Zn 2.69-2.93
Au (0.7745, 0.3381, 0.5489)  9 Zn 2.69-2.93

## Properties
Calculated volume ... 181.4 Å³/cell
M_tot ... 0.00 μB/f.u.
Space group ... C2/m, No. 12
N(E_F) ... 3.1 states/eV/cell

---

It is entry ii that is most stable; the runner-up trails by 10 meV/atom.

---

Entry i
Entry from the Alexandria database: an optimized crystal structure of Zr3CdAu2 (PBE-GGA).

abc: 3.1411 3.1411 12.4892
angles: 90.00 90.00 90.00
With the nearest neighbours (Å) after each atom.
Sites, in units of the cell vectors:
Zr (0.0000, 0.0000, 0.0000)  8 Au 3.01, 4 Zr 3.14
Zr (0.0000, 0.0000, 0.6776)  4 Au 2.99, 4 Cd 3.14, 4 Zr 3.14
Zr (0.0000, 0.0000, 0.3224)  4 Au 2.99, 4 Cd 3.14, 4 Zr 3.14
Cd (0.5000, 0.5000, 0.5000)  8 Zr 3.14, 4 Cd 3.14
Au (0.5000, 0.5000, 0.8375)  8 Zr 2.99-3.01, 4 Au 3.14
Au (0.5000, 0.5000, 0.1625)  8 Zr 2.99-3.01, 4 Au 3.14

## Properties
Calculated volume ... 123.2 Å³/cell
M_tot ... 0.01 μB/f.u.
Space group ... P4/mmm, No. 123
N(E_F) ... 7.2 states/eV/cell

---

Entry ii
Entry from the Alexandria database: an optimized crystal structure of Zr3CdAu2 (PBE-GGA).

abc: 2.9810 5.3961 8.8244
angles: 107.80 99.72 90.00
With the nearest neighbours (Å) after each atom.
Sites, in units of the cell vectors:
Zr (0.0000, 0.5000, 0.0000)  2 Cd 2.70, 4 Au 2.90, 2 Zr 2.98
Zr (0.8201, 0.8201, 0.6403)  5 Au 2.81-3.12, 1 Cd 2.97, 2 Zr 2.98
Zr (0.1799, 0.1799, 0.3597)  5 Au 2.81-3.12, 1 Cd 2.97, 2 Zr 2.98
Cd (0.0000, 0.0000, 0.0000)  4 Zr 2.70-2.97, 2 Cd 2.98
Au (0.6502, 0.6502, 0.3003)  7 Zr 2.81-3.12, 2 Au 2.98
Au (0.3498, 0.3498, 0.6997)  7 Zr 2.81-3.12, 2 Au 2.98

## Properties
Calculated volume ... 133.0 Å³/cell
M_tot ... 0.00 μB/f.u.
Space group ... Immm, No. 71
N(E_F) ... 5.5 states/eV/cell

---

It is entry i that is most stable; the runner-up trails by 381 meV/atom.

---

Entry i
Entry from the Alexandria database: an optimized crystal structure of Zr4CdAu (PBE-GGA).

abc: 3.1988 3.1988 12.9037
angles: 90.00 90.00 90.00
With the nearest neighbours (Å) after each atom.
Sites, in units of the cell vectors:
Zr (0.5000, 0.5000, 0.1755)  8 Zr 3.16-3.20, 4 Cd 3.20
Zr (0.0000, 0.0000, 0.6531)  4 Au 3.00, 8 Zr 3.16-3.20
Zr (0.0000, 0.0000, 0.3469)  4 Au 3.00, 8 Zr 3.16-3.20
Zr (0.5000, 0.5000, 0.8245)  8 Zr 3.16-3.20, 4 Cd 3.20
Cd (0.0000, 0.0000, 0.0000)  4 Cd 3.20, 8 Zr 3.20
Au (0.5000, 0.5000, 0.5000)  8 Zr 3.00, 4 Au 3.20

## Properties
Calculated volume ... 132.0 Å³/cell
M_tot ... 0.00 μB/f.u.
Space group ... P4/mmm, No. 123
N(E_F) ... 5.3 states/eV/cell

---

Entry ii
Entry from the Alexandria database: an optimized crystal structure of Zr4CdAu (PBE-GGA).

abc: 5.7246 5.7246 5.7246
angles: 60.00 60.00 60.00
With the nearest neighbours (Å) after each atom.
Sites, in units of the cell vectors:
Zr (0.8751, 0.3750, 0.3750)  6 Zr 2.86
Zr (0.3750, 0.3750, 0.8751)  6 Zr 2.86
Zr (0.3750, 0.8751, 0.3750)  6 Zr 2.86
Zr (0.3750, 0.3750, 0.3750)  6 Zr 2.86
Cd (0.0000, 0.0000, 0.0000)  12 Zr 3.36, 4 Au 3.51
Au (0.7500, 0.7500, 0.7500)  12 Zr 3.36, 4 Cd 3.51

## Properties
Calculated volume ... 132.7 Å³/cell
M_tot ... 0.00 μB/f.u.
Space group ... F-43m, No. 216
N(E_F) ... 5.0 states/eV/cell

---

It is entry i that is most stable; the runner-up trails by 447 meV/atom.

---

Entry i
Entry from the Alexandria database: an optimized crystal structure of ZrCdAu3 (PBE-GGA).

abc: 5.0480 5.0480 7.9678
angles: 108.47 89.99 90.00
With the nearest neighbours (Å) after each atom.
Sites, in units of the cell vectors:
Zr (0.2502, 0.3552, 0.7104)  9 Au 2.89-2.99, 1 Cd 3.14
Zr (0.7498, 0.6448, 0.2896)  9 Au 2.89-2.99, 1 Cd 3.14
Cd (0.2504, 0.1477, 0.2954)  9 Au 2.91-3.01, 1 Zr 3.14
Cd (0.7496, 0.8523, 0.7046)  9 Au 2.91-3.01, 1 Zr 3.14
Au (0.7502, 0.0515, 0.1029)  2 Zr 2.89, 3 Cd 2.91-3.01, 5 Au 2.94-3.02
Au (0.2498, 0.9485, 0.8971)  2 Zr 2.89, 3 Cd 2.91-3.01, 5 Au 2.94-3.02
Au (0.2499, 0.5483, 0.0966)  3 Zr 2.92, 5 Au 2.92-3.03, 2 Cd 2.94
Au (0.7501, 0.4517, 0.9034)  3 Zr 2.92, 5 Au 2.92-3.03, 2 Cd 2.94
Au (0.2495, 0.7488, 0.4977)  4 Cd 2.95-2.97, 4 Zr 2.97-2.99, 2 Au 3.02-3.03
Au (0.7505, 0.2512, 0.5023)  4 Cd 2.95-2.97, 4 Zr 2.97-2.99, 2 Au 3.02-3.03

## Properties
Calculated volume ... 192.6 Å³/cell
M_tot ... 0.00 μB/f.u.
Space group ... Cmcm, No. 63
N(E_F) ... 2.1 states/eV/cell

---

Entry ii
Entry from the Alexandria database: an optimized crystal structure of ZrCdAu3 (PBE-GGA).

abc: 5.2911 5.2911 5.2911
angles: 90.00 90.00 90.00
With the nearest neighbours (Å) after each atom.
Sites, in units of the cell vectors:
Au (0.0000, 0.5000, 0.0000)  2 Zr 2.65
Au (0.0000, 0.0000, 0.5000)  2 Zr 2.65
Au (0.5000, 0.0000, 0.0000)  2 Zr 2.65
Zr (0.0000, 0.0000, 0.0000)  6 Au 2.65
Cd (0.5000, 0.5000, 0.5000)  12 Au 3.74

## Properties
Calculated volume ... 148.1 Å³/cell
M_tot ... 0.00 μB/f.u.
Space group ... Pm-3m, No. 221
N(E_F) ... 3.2 states/eV/cell

---

It is entry i that is most stable; the runner-up trails by 955 meV/atom.

---

Entry i
Entry from the Alexandria database: an optimized crystal structure of Ce4Au3 (PBE-GGA).

abc: 3.7314 3.7313 12.9922
angles: 98.22 98.22 89.94
With the nearest neighbours (Å) after each atom.
Sites, in units of the cell vectors:
Ce (0.7094, 0.2094, 0.4209)  4 Au 3.09-3.10, 4 Ce 3.31-3.33
Ce (0.2906, 0.7906, 0.5791)  4 Au 3.09-3.10, 4 Ce 3.31-3.33
Ce (0.4293, 0.9293, 0.8590)  8 Au 3.19-3.28, 1 Ce 3.56
Ce (0.5707, 0.0707, 0.1410)  8 Au 3.19-3.28, 1 Ce 3.56
Au (0.8537, 0.3537, 0.7062)  8 Ce 3.09-3.28
Au (0.0000, 0.5000, 0.0000)  8 Ce 3.19
Au (0.1463, 0.6463, 0.2938)  8 Ce 3.09-3.28

## Properties
Calculated volume ... 177.2 Å³/cell
M_tot ... 3.22 μB/f.u.
Space group ... C2/m, No. 12
N(E_F) ... 24.1 states/eV/cell

---

Entry ii
Entry from the Alexandria database: an optimized crystal structure of Ce4Au3 (PBE-GGA).

abc: 6.4474 8.1961 8.1961
angles: 113.38 105.20 105.20
With the nearest neighbours (Å) after each atom.
Sites, in units of the cell vectors:
Ce (0.5000, 0.0000, 0.0000)  2 Ce 3.22, 6 Au 3.23
Ce (0.0000, 0.0000, 0.0000)  8 Ce 3.22-3.53, 6 Au 3.37
Ce (0.9382, 0.6689, 0.5358)  1 Ce 2.96, 6 Au 3.09-3.27
Ce (0.4024, 0.4642, 0.1331)  1 Ce 2.96, 6 Au 3.09-3.27
Ce (0.2693, 0.8669, 0.3311)  1 Ce 2.96, 6 Au 3.09-3.27
Ce (0.0618, 0.3311, 0.4642)  1 Ce 2.96, 6 Au 3.09-3.27
Ce (0.5976, 0.5358, 0.8669)  1 Ce 2.96, 6 Au 3.09-3.27
Ce (0.7307, 0.1331, 0.6689)  1 Ce 2.96, 6 Au 3.09-3.27
Au (0.0974, 0.5917, 0.8833)  9 Ce 3.09-3.40, 1 Au 3.17
Au (0.2141, 0.1167, 0.7083)  9 Ce 3.09-3.40, 1 Au 3.17
Au (0.5058, 0.2917, 0.4083)  9 Ce 3.09-3.40, 1 Au 3.17
Au (0.9026, 0.4083, 0.1167)  9 Ce 3.09-3.40, 1 Au 3.17
Au (0.7859, 0.8833, 0.2917)  9 Ce 3.09-3.40, 1 Au 3.17
Au (0.4942, 0.7083, 0.5917)  9 Ce 3.09-3.40, 1 Au 3.17

## Properties
Calculated volume ... 349.3 Å³/cell
M_tot ... 4.18 μB/f.u.
Space group ... R-3, No. 148
N(E_F) ... 38.9 states/eV/cell

---

It is entry ii that is most stable; the runner-up trails by 8 meV/atom.